No. 1
Below is a geometry-optimized ZrBeGa structure, with properties calculated at the PBE level.

For the energy of formation, the calculation gives -0.091 eV/atom. The calculation puts the polymorph energy (0 for the lowest one) at 0.397 eV per atom. As for the raw total energy: -31.15 eV per cell.

Unit cell a=6.711 b=6.711 c=4.085 alpha=90.00 beta=90.00 gamma=146.34
Sites, in units of the cell vectors:
Zr1 0.130 0.870 0.750
Zr2 0.870 0.130 0.250
Be1 0.500 0.500 0.000
Be2 0.500 0.500 0.500
Ga1 0.342 0.658 0.750
Ga2 0.658 0.342 0.250



No. 2
Below is a geometry-optimized ZrBeGa2 structure, with properties calculated at the PBE level.

For the energy of formation, the calculation gives -0.378 eV/atom. As for the raw total energy: -19.84 eV per cell.

Unit cell a=3.940 b=3.940 c=4.005 alpha=90.00 beta=90.00 gamma=90.00
Sites, in units of the cell vectors:
Zr1 0.000 0.000 0.000
Be1 0.500 0.500 0.000
Ga1 0.000 0.500 0.500
Ga2 0.500 0.000 0.500



No. 3
Below is a geometry-optimized Zr2BeGa2 structure, with properties calculated at the PBE level.

For the energy of formation, the calculation gives -0.521 eV/atom. The calculation puts the polymorph energy (0 for the lowest one) at 0.000 eV per atom. As for the raw total energy: -58.96 eV per cell.

Unit cell a=5.354 b=5.354 c=9.785 alpha=115.03 beta=115.03 gamma=42.99
Sites, in units of the cell vectors:
Zr1 0.002 0.002 0.174
Zr2 0.187 0.187 0.607
Zr3 0.813 0.813 0.393
Zr4 0.998 0.998 0.826
Be1 0.286 0.286 0.168
Be2 0.714 0.714 0.832
Ga1 0.345 0.345 0.937
Ga2 0.474 0.474 0.616
Ga3 0.526 0.526 0.384
Ga4 0.655 0.655 0.063



No. 4
Below is a geometry-optimized Zr2Be3Ga structure, with properties calculated at the PBE level.

For the energy of formation, the calculation gives -0.331 eV/atom. The calculation puts the polymorph energy (0 for the lowest one) at 0.005 eV per atom. As for the raw total energy: -66.58 eV per cell.

Unit cell a=7.847 b=7.545 c=5.125 alpha=73.77 beta=67.39 gamma=38.84
Sites, in units of the cell vectors:
Zr1 0.242 0.758 0.758
Zr2 0.250 0.250 0.250
Zr3 0.750 0.750 0.750
Zr4 0.758 0.242 0.242
Be1 0.163 0.163 0.837
Be2 0.163 0.675 0.325
Be3 0.325 0.837 0.163
Be4 0.675 0.163 0.837
Be5 0.837 0.325 0.675
Be6 0.837 0.837 0.163
Ga1 0.334 0.334 0.666
Ga2 0.666 0.666 0.334



No. 5
Below is a geometry-optimized Zr5Be2Ga5 structure, with properties calculated at the PBE level.

For the energy of formation, the calculation gives -0.494 eV/atom. As for the raw total energy: -71.25 eV per cell.

Unit cell a=7.364 b=7.364 c=9.585 alpha=128.06 beta=128.06 gamma=31.72
Sites, in units of the cell vectors:
Zr1 0.000 0.000 0.000
Zr2 0.111 0.111 0.420
Zr3 0.187 0.187 0.828
Zr4 0.813 0.813 0.172
Zr5 0.889 0.889 0.580
Be1 0.351 0.351 0.748
Be2 0.649 0.649 0.252
Ga1 0.254 0.254 0.311
Ga2 0.444 0.444 0.147
Ga3 0.500 0.500 0.500
Ga4 0.556 0.556 0.853
Ga5 0.746 0.746 0.689



No. 6
Below is a geometry-optimized Zr2Be2Ga3 structure, with properties calculated at the PBE level.

For the energy of formation, the calculation gives -0.395 eV/atom. As for the raw total energy: -72.78 eV per cell.

Unit cell a=8.871 b=8.871 c=6.394 alpha=90.00 beta=90.00 gamma=154.32
Sites, in units of the cell vectors:
Zr1 0.052 0.948 0.750
Zr2 0.160 0.840 0.250
Zr3 0.840 0.160 0.750
Zr4 0.948 0.052 0.250
Be1 0.315 0.685 0.074
Be2 0.315 0.685 0.426
Be3 0.685 0.315 0.574
Be4 0.685 0.315 0.926
Ga1 0.221 0.779 0.750
Ga2 0.434 0.566 0.560
Ga3 0.434 0.566 0.940
Ga4 0.566 0.434 0.060
Ga5 0.566 0.434 0.440
Ga6 0.779 0.221 0.250



No. 7
Below is a geometry-optimized ZrBeGa structure, with properties calculated at the PBE level.

For the energy of formation, the calculation gives -0.404 eV/atom. The calculation puts the polymorph energy (0 for the lowest one) at 0.083 eV per atom. As for the raw total energy: -33.03 eV per cell.

Unit cell a=7.290 b=7.290 c=7.290 alpha=150.31 beta=150.31 gamma=42.49
Sites, in units of the cell vectors:
Zr1 0.000 0.000 0.000
Zr2 0.750 0.250 0.500
Be1 0.174 0.674 0.500
Be2 0.326 0.826 0.500
Ga1 0.410 0.410 0.000
Ga2 0.590 0.590 0.000



No. 8
Below is a geometry-optimized Zr3BeGa structure, with properties calculated at the PBE level.

For the energy of formation, the calculation gives 0.080 eV/atom. The calculation puts the polymorph energy (0 for the lowest one) at 0.000 eV per atom. As for the raw total energy: -32.00 eV per cell.

Unit cell a=4.692 b=4.692 c=4.692 alpha=90.00 beta=90.00 gamma=90.00
Sites, in units of the cell vectors:
Zr1 0.000 0.000 0.500
Zr2 0.000 0.500 0.000
Zr3 0.500 0.000 0.000
Be1 0.000 0.000 0.000
Ga1 0.500 0.500 0.500



Going through the records in order, we get ρ values of 5.53 6.40 6.45 5.28 6.51 6.24 5.95 5.67 g/cm³.